Entry 1:
{
  "formula": "CsK2Hg",
  "functional": "PBE",
  "state": "relaxed",
  "formation_energy_ev_per_atom": -0.0550,
  "sg": "P4/mmm",
  "lattice": [[-3.525, 5.601, 1.342], [-4.924, -3.196, 0.407], [0.973, -0.766, 5.753]],
  "species": ["Cs", "K", "K", "Hg"],
  "frac_coords": [[0.500, 0.000, 0.000], [0.000, 0.000, 0.500], [0.000, 0.500, 0.000], [0.500, 0.500, 0.500]]
}


Entry 2:
{
  "formula": "NaSrC",
  "functional": "PBE",
  "state": "relaxed",
  "formation_energy_ev_per_atom": 0.0476,
  "sg": "C2/m",
  "lattice": [[3.975, 0.000, 0.000], [-1.988, 3.829, 0.221], [0.000, -1.931, 12.507]],
  "species": ["C", "Na", "Sr", "C", "Sr", "Na"],
  "frac_coords": [[0.574, 0.147, 0.030], [0.365, 0.731, 0.612], [0.111, 0.222, 0.871], [0.426, 0.853, 0.970], [0.889, 0.778, 0.129], [0.635, 0.269, 0.388]]
}


Entry 3:
{
  "formula": "LaTbY2S6",
  "functional": "PBE",
  "state": "relaxed",
  "sg": "R3",
  "formation_energy_uncorrected_ev_per_atom": -2.082,
  "lattice": [[-1.451, -6.405, 2.536], [4.078, -5.474, -1.720], [4.472, -2.827, 5.192]],
  "species": ["Y", "La", "S", "S", "S", "S", "Y", "Tb", "S", "S"],
  "frac_coords": [[0.519, 0.518, 0.445], [0.808, 0.808, 0.577], [0.722, 0.139, 0.748], [0.224, 0.913, 0.246], [0.139, 0.391, 0.748], [0.617, 0.224, 0.246], [0.014, 0.014, 0.957], [0.315, 0.315, 0.055], [0.913, 0.617, 0.246], [0.391, 0.722, 0.748]]
}


Entry 4:
{
  "formula": "Ca3CdPd",
  "functional": "PBE",
  "state": "relaxed",
  "formation_energy_ev_per_atom": -0.3190,
  "sg": "Pm-3m",
  "lattice": [[-0.062, -4.964, 2.485], [5.263, 0.738, 1.605], [-1.766, 2.374, 4.698]],
  "species": ["Cd", "Ca", "Ca", "Pd", "Ca"],
  "frac_coords": [[0.500, 0.500, 0.500], [0.500, 0.000, 0.000], [0.000, 0.000, 0.500], [0.000, 0.000, 0.000], [0.000, 0.500, 0.000]]
}


Entry 5:
{
  "formula": "DyGeHRh",
  "functional": "PBE",
  "state": "relaxed",
  "total_energy_ev_per_fu": -23.31,
  "sg": "P4/nmm",
  "lattice": [[-3.538, 1.755, 0.975], [-0.178, -2.242, 3.390], [3.580, 5.202, 3.628]],
  "species": ["H", "H", "Dy", "Ge", "Rh", "Rh", "Ge", "Dy"],
  "frac_coords": [[0.000, 0.000, 0.000], [0.500, 0.500, 0.000], [0.500, 0.000, 0.156], [0.000, 0.500, 0.306], [0.500, 0.500, 0.500], [0.000, 0.000, 0.500], [0.500, 0.000, 0.694], [0.000, 0.500, 0.844]]
}


Entry 6:
{
  "formula": "Tb4Ni2N",
  "functional": "PBE",
  "state": "relaxed",
  "sg": "I4/mmm",
  "formation_energy_uncorrected_ev_per_atom": -0.312,
  "lattice": [[4.624, 0.000, 0.000], [0.000, 4.624, 0.000], [2.312, 2.312, 7.374]],
  "species": ["Ni", "Tb", "N", "Tb", "Tb", "Tb", "Ni"],
  "frac_coords": [[0.132, 0.132, 0.737], [0.309, 0.309, 0.381], [0.000, 0.000, 0.000], [0.000, 0.500, 0.000], [0.691, 0.691, 0.619], [0.500, 0.000, 0.000], [0.868, 0.868, 0.263]]
}


Entry 7:
{
  "formula": "Nd2AgPb2",
  "functional": "PBE",
  "state": "relaxed",
  "formation_energy_ev_per_atom": -0.3902,
  "sg": "Cmc2_1",
  "lattice": [[5.058, 0.000, 0.000], [0.000, 6.680, 0.000], [-2.529, 0.000, 8.627]],
  "species": ["Pb", "Pb", "Pb", "Ag", "Nd", "Pb", "Nd", "Nd", "Ag", "Nd"],
  "frac_coords": [[0.170, 0.466, 0.341], [0.830, 0.966, 0.659], [0.590, 0.987, 0.179], [0.585, 0.491, 0.170], [0.000, 0.231, 0.999], [0.410, 0.487, 0.821], [0.000, 0.731, 0.001], [0.784, 0.459, 0.568], [0.415, 0.991, 0.830], [0.216, 0.959, 0.432]]
}


Entry 8:
{
  "formula": "NaSrNdPb",
  "functional": "PBE",
  "state": "relaxed",
  "formation_energy_ev_per_atom": -0.2361,
  "sg": "F-43m",
  "lattice": [[-2.264, -1.759, 4.950], [3.372, -0.872, 4.537], [-0.234, 3.567, 4.465]],
  "species": ["Na", "Sr", "Nd", "Pb"],
  "frac_coords": [[0.000, 0.000, 0.000], [0.750, 0.750, 0.750], [0.250, 0.250, 0.250], [0.500, 0.500, 0.500]]
}


Entry 9:
{
  "formula": "SmEuYLu",
  "functional": "PBE",
  "state": "relaxed",
  "formation_energy_ev_per_atom": 0.1520,
  "sg": "F-43m",
  "lattice": [[5.752, 0.000, 0.000], [2.876, 4.981, 0.000], [2.876, 1.660, 4.696]],
  "species": ["Eu", "Sm", "Y", "Lu"],
  "frac_coords": [[0.500, 0.500, 0.500], [0.250, 0.250, 0.250], [0.750, 0.750, 0.750], [0.000, 0.000, 0.000]]
}


Entry 10:
{
  "formula": "CsTl2MoAs",
  "functional": "PBE",
  "state": "relaxed",
  "formation_energy_ev_per_atom": 0.0597,
  "sg": "P4/mmm",
  "lattice": [[-1.289, 5.374, 0.743], [-2.904, -0.144, -3.999], [-4.325, -1.479, 3.193]],
  "species": ["As", "Tl", "Tl", "Cs", "Mo"],
  "frac_coords": [[0.000, 0.500, 0.000], [0.500, 0.000, 0.000], [0.000, 0.000, 0.500], [0.500, 0.500, 0.500], [0.000, 0.000, 0.000]]
}


Entry 11:
{
  "formula": "EuErTlRh",
  "functional": "PBE",
  "state": "relaxed",
  "formation_energy_ev_per_atom": -0.3664,
  "sg": "F-43m",
  "lattice": [[-0.508, 0.945, -5.053], [-1.959, -3.621, -3.121], [-4.700, 0.625, -2.051]],
  "species": ["Er", "Tl", "Rh", "Eu"],
  "frac_coords": [[0.250, 0.250, 0.250], [0.000, 0.000, 0.000], [0.500, 0.500, 0.500], [0.750, 0.750, 0.750]]
}


Entry 12:
{
  "formula": "BaLa2Ge6",
  "functional": "PBE",
  "state": "relaxed",
  "formation_energy_ev_per_atom": -0.4957,
  "sg": "Cm",
  "lattice": [[-1.570, 2.314, -3.260], [-8.059, -0.101, 0.966], [-2.393, 7.022, 3.295]],
  "species": ["Ge", "Ge", "Ge", "La", "Ge", "Ge", "Ba", "La", "Ge"],
  "frac_coords": [[0.500, 0.656, 0.344], [0.685, 0.582, 0.050], [0.685, 0.050, 0.582], [0.849, 0.651, 0.651], [0.316, 0.417, 0.950], [0.316, 0.950, 0.417], [0.999, 0.001, 0.001], [0.151, 0.349, 0.349], [0.500, 0.344, 0.656]]
}


Entry 13:
{
  "formula": "Re2SiPb",
  "functional": "PBE",
  "state": "relaxed",
  "sg": "C2/m",
  "formation_energy_uncorrected_ev_per_atom": 0.551,
  "lattice": [[-3.983, 1.344, -1.133], [-4.156, -0.634, 1.133], [-0.908, 4.422, 3.791]],
  "species": ["Si", "Re", "Pb", "Re"],
  "frac_coords": [[0.750, 0.750, 0.750], [0.013, 0.013, 0.930], [0.250, 0.250, 0.250], [0.487, 0.487, 0.570]]
}


Entry 14:
{
  "formula": "Na4Ho3ThTe8",
  "functional": "PBE",
  "state": "relaxed",
  "sg": "R-3m",
  "formation_energy_uncorrected_ev_per_atom": -1.250,
  "lattice": [[8.820, 0.000, 0.000], [0.000, 9.156, 0.230], [-4.410, -4.404, 6.238]],
  "species": ["Te", "Te", "Ho", "Na", "Th", "Te", "Te", "Na", "Te", "Na", "Ho", "Te", "Te", "Te", "Na", "Ho"],
  "frac_coords": [[0.248, 0.736, 0.496], [0.752, 0.264, 0.504], [0.500, 0.500, 0.000], [0.500, 0.000, 0.500], [0.000, 0.500, 0.000], [0.740, 0.736, 0.988], [0.260, 0.264, 0.012], [0.000, 0.000, 0.000], [0.248, 0.736, 0.988], [0.500, 0.000, 0.000], [0.000, 0.500, 0.500], [0.744, 0.731, 0.488], [0.752, 0.264, 0.012], [0.256, 0.269, 0.512], [0.000, 0.000, 0.500], [0.500, 0.500, 0.500]]
}


Entry 15:
{
  "formula": "Ba2CaRu",
  "functional": "PBE",
  "state": "relaxed",
  "formation_energy_ev_per_atom": 0.3796,
  "sg": "P2/m",
  "lattice": [[3.805, 0.000, 0.000], [0.000, 3.806, 0.008], [0.000, 3.793, 10.379]],
  "species": ["Ba", "Ru", "Ba", "Ca"],
  "frac_coords": [[0.000, 0.072, 0.928], [0.500, 0.750, 0.750], [0.000, 0.428, 0.572], [0.500, 0.250, 0.250]]
}


Entry 16:
{
  "formula": "PrB3N3",
  "functional": "PBE",
  "state": "relaxed",
  "sg": "Pm-3n",
  "formation_energy_uncorrected_ev_per_atom": 0.274,
  "lattice": [[4.894, 0.000, 0.000], [0.000, 4.894, 0.000], [0.000, 0.000, 4.894]],
  "species": ["N", "B", "B", "N", "N", "Pr", "B", "N", "N", "Pr", "B", "B", "N", "B"],
  "frac_coords": [[0.250, 0.500, 0.000], [0.000, 0.500, 0.250], [0.500, 0.250, 0.000], [0.750, 0.500, 0.000], [0.000, 0.250, 0.500], [0.000, 0.000, 0.000], [0.750, 0.000, 0.500], [0.500, 0.000, 0.750], [0.000, 0.750, 0.500], [0.500, 0.500, 0.500], [0.250, 0.000, 0.500], [0.000, 0.500, 0.750], [0.500, 0.000, 0.250], [0.500, 0.750, 0.000]]
}


Entry 17:
{
  "formula": "SrMgIn2Hg",
  "functional": "PBE",
  "state": "relaxed",
  "formation_energy_ev_per_atom": -0.2975,
  "sg": "I-4m2",
  "lattice": [[-3.340, 2.169, 2.400], [-3.175, -2.859, -1.835], [4.121, -3.775, 4.643]],
  "species": ["In", "Mg", "In", "Sr", "Hg"],
  "frac_coords": [[0.611, 0.611, 0.221], [0.250, 0.750, 0.500], [0.389, 0.389, 0.779], [0.000, 0.000, 0.000], [0.750, 0.250, 0.500]]
}


Entry 18:
{
  "formula": "SrPrZnRh",
  "functional": "PBE",
  "state": "relaxed",
  "formation_energy_ev_per_atom": -0.2826,
  "sg": "F-43m",
  "lattice": [[-1.885, 3.775, 3.023], [-3.026, -1.184, 4.047], [1.788, 0.588, 4.837]],
  "species": ["Sr", "Zn", "Rh", "Pr"],
  "frac_coords": [[0.250, 0.250, 0.250], [0.000, 0.000, 0.000], [0.500, 0.500, 0.500], [0.750, 0.750, 0.750]]
}


Entry 19:
{
  "formula": "Pm8Ni3CI4",
  "functional": "PBE",
  "state": "relaxed",
  "sg": "R-3m",
  "formation_energy_uncorrected_ev_per_atom": -0.635,
  "lattice": [[8.134, 0.000, 0.000], [0.000, 9.172, 0.723], [-4.067, -4.066, 5.757]],
  "species": ["I", "Pm", "C", "Ni", "Pm", "Pm", "Pm", "Pm", "I", "Pm", "Ni", "Pm", "Pm", "I", "Ni", "I"],
  "frac_coords": [[0.000, 0.000, 0.500], [0.743, 0.677, 0.960], [0.000, 0.500, 0.000], [0.500, 0.500, 0.500], [0.257, 0.323, 0.040], [0.217, 0.677, 0.960], [0.217, 0.677, 0.435], [0.783, 0.323, 0.565], [0.500, 0.000, 0.000], [0.727, 0.682, 0.455], [0.000, 0.500, 0.500], [0.783, 0.323, 0.040], [0.273, 0.318, 0.545], [0.000, 0.000, 0.000], [0.500, 0.500, 0.000], [0.500, 0.000, 0.500]]
}


Entry 20:
{
  "formula": "Pa2Co4Ni3",
  "functional": "PBE",
  "state": "relaxed",
  "formation_energy_ev_per_atom": -0.2887,
  "sg": "Fmmm",
  "lattice": [[4.899, -0.215, 0.000], [-2.467, 4.238, 0.000], [-1.216, -2.012, 6.127]],
  "species": ["Ni", "Pa", "Co", "Ni", "Co", "Co", "Co", "Ni", "Pa"],
  "frac_coords": [[0.500, 0.000, 0.000], [0.362, 0.362, 0.724], [0.334, 0.018, 0.352], [0.000, 0.500, 0.000], [0.018, 0.334, 0.352], [0.666, 0.982, 0.648], [0.982, 0.666, 0.648], [0.000, 0.000, 0.000], [0.638, 0.638, 0.276]]
}